1.
TaInCo2: relaxed, PBEsol.

- N(E_F) (states/eV/cell) = 4.0
- space group = P2/m
- formation energy (eV/atom) = 0.25
- ρ (Mg/m³) = 11.82

```
TaInCo2
1.0
2.915 0.000 0.000
0.000 4.319 0.014
0.000 -1.981 4.611
In Co Ta
1 2 1
direct
0.500 0.500 0.000
0.000 0.000 0.000
0.500 0.000 0.500
0.000 0.500 0.500
```

***

2.
Co3TcF: relaxed, PBEsol.

- N(E_F) (states/eV/cell) = 13.1
- space group = Pm-3m
- formation energy without anion corrections (eV/atom) = 1.525
- ρ (Mg/m³) = 5.95

```
Co3TcF
1.0
4.345 0.000 0.000
0.000 4.345 0.000
0.000 0.000 4.345
Co Tc F
3 1 1
direct
0.000 0.500 0.000
0.000 0.000 0.500
0.500 0.000 0.000
0.000 0.000 0.000
0.500 0.500 0.500
```

***

Repeat the first record exactly.
TaInCo2: relaxed, PBEsol.

- N(E_F) (states/eV/cell) = 4.0
- space group = P2/m
- formation energy (eV/atom) = 0.25
- ρ (Mg/m³) = 11.82

```
TaInCo2
1.0
2.915 0.000 0.000
0.000 4.319 0.014
0.000 -1.981 4.611
In Co Ta
1 2 1
direct
0.500 0.500 0.000
0.000 0.000 0.000
0.500 0.000 0.500
0.000 0.500 0.500
```

***

- The highest ρ belongs to which entry?
  TaInCo2

***

- ρ of number 2 (Co3TcF)?
  5.95 Mg/m³